Compound: Tm4Zn3Co
Source: Alexandria via LeMat-Bulk
Functional: PBE-GGA
Structure: optimized geometry

Values from the calculation:
Calculated volume   20.77 Å³/atom
Uncorrected energy   -3.93 eV per atom
D(E_F)   6.54 states/eV/f.u.
Space group   P4/mmm, No. 123
Energy of formation from the pure elements   -324 meV per atom

Geometry as POSCAR:
```
Tm4Zn3Co
1.0
-1.5659 2.2276 -2.1021
-2.6636 -2.1559 -0.3005
-6.1713 6.0852 11.0458
Zn Tm Co
3 4 1
Cartesian
-3.6272 1.5271 1.5057
-5.2004 3.0784 4.3216
-6.7736 4.6297 7.1375
-5.4733 5.3969 9.7965
-0.6980 0.6882 1.2493
-2.2939 2.2619 4.1058
-3.8774 3.8233 6.9400
-2.1148 0.0358 -1.2013
```